## ScTiWO6 (PBE with a Hubbard U)

Data for a geometry-optimized ScTiWO6 structure.

Calculated values
E_tot   -0.30768 hartree per atom

a b c (Å): 5.1590 5.1590 8.7848
angles (deg): 90.00 90.00 120.00
Element x y z (fractional)
1 W 0.0000 0.0000 0.5000
2 W 0.0000 0.0000 0.0000
3 Sc 0.3333 0.6667 0.2500
4 Sc 0.6667 0.3333 0.7500
5 O 0.9793 0.3175 0.1264
6 O 0.6825 0.0207 0.3736
7 O 0.0207 0.6825 0.8736
8 O 0.0207 0.3381 0.6264
9 O 0.6825 0.6619 0.1264
10 O 0.3175 0.9793 0.6264
11 O 0.3381 0.0207 0.1264
12 O 0.3175 0.3381 0.8736
13 O 0.6619 0.6825 0.6264
14 O 0.3381 0.3175 0.3736
15 O 0.9793 0.6619 0.3736
16 O 0.6619 0.9793 0.8736
17 Ti 0.6667 0.3333 0.2500
18 Ti 0.3333 0.6667 0.7500